Record 1
# ZrMn2Cu

A relaxed structure of ZrMn2Cu (PBE-GGA, the Alexandria database).

Lattice parameters (Å, degrees): 4.364 4.364 4.364 60.00 60.00 60.00
Each line ends with the local moment (μB).
Fractional positions:
Mn 0.750 0.750 0.750  2.62
Cu 0.000 0.000 0.000  0.15
Mn 0.250 0.250 0.250  2.62
Zr 0.500 0.500 0.500  -0.55

Properties
- N(E_F): 1.8 states/eV per cell
- Energy of formation: 0.148 eV/atom
- ρ: 7.48 g/cm3

***

Record 2
# AcLa4Tl

A relaxed structure of AcLa4Tl (PBE-GGA, the Alexandria database).

Lattice parameters (Å, degrees): 6.519 6.519 12.478 74.03 74.03 57.43
Fractional positions:
Tl 0.092 0.908 0.750
Ac 0.000 0.500 0.000
La 0.687 0.152 0.017
La 0.234 0.466 0.250
La 0.313 0.848 0.983
La 0.848 0.313 0.483
La 0.152 0.687 0.517
Ac 0.500 0.000 0.500
La 0.534 0.766 0.250
La 0.766 0.534 0.750
Tl 0.908 0.092 0.250
La 0.466 0.234 0.750

Properties
- N(E_F): 17.5 states/eV per cell
- Energy of formation: -0.098 eV/atom
- ρ: 7.73 g/cm3
- Energy above the lowest structure with this stoichiometry: 0.016 eV per atom

***

Record 3
# LiTbDyTm

A relaxed structure of LiTbDyTm (PBE-GGA, the Alexandria database).

Lattice parameters (Å, degrees): 5.445 5.445 5.445 60.00 60.00 60.00
Fractional positions:
Dy 0.750 0.750 0.750
Li 0.000 0.000 0.000
Tb 0.250 0.250 0.250
Tm 0.500 0.500 0.500

Properties
- N(E_F): 3.2 states/eV per cell
- Energy of formation: 0.165 eV/atom
- ρ: 7.23 g/cm3

***

Record 4
# Cd3SbAu

A relaxed structure of Cd3SbAu (PBE-GGA, the Alexandria database).

Lattice parameters (Å, degrees): 4.581 7.443 7.341 91.64 104.12 93.84
Fractional positions:
Au 0.211 0.674 0.238
Sb 0.326 0.717 0.652
Cd 0.745 0.526 0.450
Sb 0.541 0.124 0.533
Cd 0.122 0.316 0.735
Cd 0.768 0.929 0.254
Au 0.656 0.168 0.947
Cd 0.231 0.286 0.179
Cd 0.637 0.556 0.006
Cd 0.100 0.913 0.931

Properties
- N(E_F): 2.1 states/eV per cell
- ρ: 9.00 g/cm3
- Formation energy (no corrections): -58 meV per atom
- Energy above the lowest structure with this stoichiometry: 0.000 eV per atom

***

Record 5
# Mg2NiSb

A relaxed structure of Mg2NiSb (PBE-GGA, the Alexandria database).

Lattice parameters (Å, degrees): 3.171 3.851 6.124 90.00 90.00 90.00
Fractional positions:
Mg 0.000 0.000 0.030
Mg 0.000 0.000 0.470
Sb 0.500 0.500 0.750
Ni 0.500 0.500 0.250

Properties
- N(E_F): 1.6 states/eV per cell
- ρ: 5.09 g/cm3
- Formation energy (no corrections): -99 meV per atom

***

Record 6
# CaZr2Si

A relaxed structure of CaZr2Si (PBE-GGA, the Alexandria database).

Lattice parameters (Å, degrees): 6.150 6.150 5.197 66.22 66.22 31.58
Fractional positions:
Si 0.250 0.250 0.250
Zr 0.546 0.546 0.449
Zr 0.954 0.954 0.051
Ca 0.750 0.750 0.750

Properties
- N(E_F): 2.6 states/eV per cell
- ρ: 4.45 g/cm3
- Formation energy (no corrections): -124 meV per atom

***

Record 7
# VNiCl3

A relaxed structure of VNiCl3 (PBE-GGA, the Alexandria database).

Lattice parameters (Å, degrees): 4.634 4.634 4.634 90.00 90.00 90.00
Each line ends with the local moment (μB).
Fractional positions:
Cl 0.000 0.500 0.000  -0.02
Cl 0.500 0.000 0.000  -0.02
Cl 0.000 0.000 0.500  -0.02
V 0.500 0.500 0.500  3.10
Ni 0.000 0.000 0.000  -0.11

Properties
- N(E_F): 9.1 states/eV per cell
- ρ: 3.60 g/cm3
- Formation energy (no corrections): -36 meV per atom
- Energy above the lowest structure with this stoichiometry: 0.083 eV per atom

***

Record 8
# Sb2TeSF

A relaxed structure of Sb2TeSF (PBE-GGA, the Alexandria database).

Lattice parameters (Å, degrees): 4.630 4.630 5.812 90.00 90.00 90.00
Fractional positions:
F 0.000 0.000 0.000
Sb 0.000 0.500 0.000
S 0.500 0.500 0.500
Sb 0.500 0.000 0.000
Te 0.000 0.000 0.500

Properties
- N(E_F): 4.6 states/eV per cell
- ρ: 5.63 g/cm3
- Formation energy (no corrections): 272 meV per atom
- Energy above the lowest structure with this stoichiometry: 0.000 eV per atom

***

Record 9
# Rb3DyCu2Cl9

A relaxed structure of Rb3DyCu2Cl9 (PBE-GGA, the Alexandria database).

Lattice parameters (Å, degrees): 7.213 7.213 8.925 90.00 90.00 120.00
Each line ends with the local moment (μB).
Fractional positions:
Cl 0.829 0.658 0.671  0.01
Cl 0.171 0.342 0.329  0.01
Cl 0.342 0.171 0.671  0.01
Cl 0.829 0.171 0.671  0.01
Cl 0.500 0.000 0.000  0.07
Cu 0.333 0.667 0.137  0.35
Cl 0.500 0.500 0.000  0.07
Rb 0.667 0.333 0.318  0.00
Rb 0.333 0.667 0.682  0.00
Cl 0.658 0.829 0.329  0.01
Cl 0.000 0.500 0.000  0.07
Cu 0.667 0.333 0.863  0.35
Rb 0.000 0.000 0.000  0.00
Dy 0.000 0.000 0.500  0.02
Cl 0.171 0.829 0.329  0.01

Properties
- N(E_F): 2.5 states/eV per cell
- ρ: 3.57 g/cm3
- Formation energy (no corrections): -1560 meV per atom

***

Record 10
# HoThCo

A relaxed structure of HoThCo (PBE-GGA, the Alexandria database).

Lattice parameters (Å, degrees): 4.133 5.780 6.786 110.09 90.00 90.00
Fractional positions:
Ho 0.252 0.455 0.697
Th 0.252 0.992 0.203
Co 0.752 0.143 0.455
Co 0.252 0.865 0.548
Th 0.752 0.015 0.800
Ho 0.752 0.552 0.306

Properties
- N(E_F): 4.5 states/eV per cell
- Energy of formation: -0.183 eV/atom
- ρ: 9.95 g/cm3
- Energy above the lowest structure with this stoichiometry: 0.000 eV per atom

***

Record 11
# CuNiBr2

A relaxed structure of CuNiBr2 (PBE-GGA, the Alexandria database).

Lattice parameters (Å, degrees): 4.058 4.058 7.365 90.00 90.00 121.64
Each line ends with the local moment (μB).
Fractional positions:
Ni 0.500 0.500 0.717  0.31
Br 0.000 0.000 0.886  0.02
Br 0.500 0.500 0.364  0.00
Cu 0.000 0.000 0.533  0.00

Properties
- N(E_F): 5.4 states/eV per cell
- ρ: 4.54 g/cm3
- Formation energy (no corrections): -11 meV per atom
- Energy above the lowest structure with this stoichiometry: 0.101 eV per atom

***

Record 12
# BeSiPSe2

A relaxed structure of BeSiPSe2 (PBE-GGA, the Alexandria database).

Lattice parameters (Å, degrees): 4.600 4.272 4.600 90.00 90.00 90.00
Fractional positions:
Se 0.000 0.000 0.500
Be 0.000 0.000 0.000
Se 0.500 0.000 0.000
Si 0.000 0.500 0.000
P 0.500 0.500 0.500

Properties
- N(E_F): 3.0 states/eV per cell
- ρ: 4.15 g/cm3
- Formation energy (no corrections): 697 meV per atom